Crystalline CrIn2Au at its relaxed geometry, computed with GGA-PBE.

```
data_CrIn2Au
_symmetry_space_group_name_H-M 'P 1'
_symmetry_Int_Tables_number 1
_cell_length_a 3.5861
_cell_length_b 3.6728
_cell_length_c 6.2564
_cell_angle_alpha 90.00
_cell_angle_beta 90.00
_cell_angle_gamma 90.00
loop_
_symmetry_equiv_pos_as_xyz
'x,y,z'
loop_
_atom_site_label
_atom_site_type_symbol
_atom_site_fract_x
_atom_site_fract_y
_atom_site_fract_z
Cr1 Cr 0.0000 0.0000 0.0000
In1 In 0.0000 0.0000 0.4653
In2 In 0.5000 0.5000 0.7656
Au1 Au 0.5000 0.5000 0.2230
```

Summary:
- crystal system = orthorhombic
- V (Å³/atom) = 20.60
- energy above the lowest structure with this stoichiometry (kJ/mol of formula units) = 8.7
- space-group type = Pmm2
- energy of formation from the pure elements (kJ/mol of formula units) = 53
- DFT total energy (eV per atom) = -4.4562

***

Crystalline Ag12PdO7 at its relaxed geometry, computed with GGA-PBE.

```
data_Ag12PdO7
_symmetry_space_group_name_H-M 'P 1'
_symmetry_Int_Tables_number 1
_cell_length_a 7.0870
_cell_length_b 7.0870
_cell_length_c 7.0870
_cell_angle_alpha 106.96
_cell_angle_beta 106.96
_cell_angle_gamma 106.96
loop_
_symmetry_equiv_pos_as_xyz
'x,y,z'
loop_
_atom_site_label
_atom_site_type_symbol
_atom_site_fract_x
_atom_site_fract_y
_atom_site_fract_z
Ag1 Ag 0.0148 0.3505 0.0973
Ag2 Ag 0.0973 0.0148 0.3505
Ag3 Ag 0.1852 0.7623 0.5908
Ag4 Ag 0.2377 0.4092 0.8148
Ag5 Ag 0.3505 0.0973 0.0148
Ag6 Ag 0.4092 0.8148 0.2377
Ag7 Ag 0.5908 0.1852 0.7623
Ag8 Ag 0.6495 0.9027 0.9852
Ag9 Ag 0.7623 0.5908 0.1852
Ag10 Ag 0.8148 0.2377 0.4092
Ag11 Ag 0.9027 0.9852 0.6495
Ag12 Ag 0.9852 0.6495 0.9027
Pd1 Pd 0.5000 0.5000 0.5000
O1 O 0.0000 0.0000 0.0000
O2 O 0.1863 0.4085 0.4757
O3 O 0.4085 0.4757 0.1863
O4 O 0.4757 0.1863 0.4085
O5 O 0.5243 0.8137 0.5915
O6 O 0.5915 0.5243 0.8137
O7 O 0.8137 0.5915 0.5243
```

Summary:
- crystal system = trigonal
- V (Å³/atom) = 14.84
- raw formation energy (eV per atom) = -0.013
- space-group type = R-3
- DFT total energy (eV per atom) = -3.7184